# 1
Computed, not measured: a PBEsol-optimized structure of Li2NiP4O12 at the SCAN level of DFT.

```
Li2NiP4O12
1.0
4.6876 -6.9264 0.0000
4.6876 6.9264 0.0000
-2.4321 0.0000 7.3957
Li Ni P O
4 2 8 24
direct
0.1278 0.8722 0.5000
0.2852 0.8042 0.2428
0.8042 0.2852 0.7428
0.8722 0.1278 0.0000
0.1954 0.4523 0.0029
0.4523 0.1954 0.5029
0.1279 0.2830 0.5781
0.2191 0.7848 0.8305
0.2830 0.1279 0.0781
0.3982 0.5382 0.4388
0.5235 0.9023 0.6731
0.5382 0.3982 0.9388
0.7848 0.2191 0.3305
0.9023 0.5235 0.1731
0.0350 0.7104 0.2616
0.0570 0.3224 0.7380
0.0950 0.7058 0.6473
0.1566 0.2185 0.0722
0.1969 0.9666 0.9010
0.2080 0.6912 0.9789
0.2185 0.1566 0.5722
0.2481 0.4675 0.5446
0.3224 0.0570 0.2380
0.3235 0.5854 0.2740
0.4024 0.9413 0.5319
0.4157 0.4895 0.9188
0.4258 0.8539 0.8270
0.4675 0.2481 0.0446
0.4895 0.4157 0.4188
0.5358 0.7206 0.5840
0.5854 0.3235 0.7740
0.6912 0.2080 0.4789
0.7058 0.0950 0.1473
0.7104 0.0350 0.7616
0.7206 0.5358 0.0840
0.8539 0.4258 0.3270
0.9413 0.4024 0.0319
0.9666 0.1969 0.4010
```

## Properties
* formation energy (no corrections): -2.36 eV/atom
* ρ: 2.686 g/cm³
* crystal system: monoclinic
* E above lowest polymorph: 0.0000 eV per atom
* magnetic moment: 2.02 μB/f.u.

---

# 2
Computed, not measured: a PBEsol-optimized structure of RbCrPCl2 at the SCAN level of DFT.

```
RbCrPCl2
1.0
5.9468 0.0000 0.0000
0.0000 5.9468 0.0000
0.0000 0.0000 5.9696
Rb Cr P Cl
1 1 1 2
direct
0.0000 0.0000 0.0000
0.5000 0.5000 0.5000
0.0000 0.0000 0.5000
0.0000 0.5000 0.0000
0.5000 0.0000 0.0000
```

## Properties
* formation energy (no corrections): 0.44 eV/atom
* ρ: 1.883 g/cm³
* crystal system: tetragonal
* magnetic moment: 8.00 μB/f.u.

---

# 3
Computed, not measured: a PBEsol-optimized structure of LiZrRu at the SCAN level of DFT.

```
LiZrRu
1.0
3.2003 0.0000 0.0000
-1.6002 2.7716 0.0000
0.0000 0.0000 6.2388
Li Zr Ru
1 1 1
direct
0.0000 0.0000 0.0000
0.6667 0.3333 0.4154
0.3333 0.6667 0.6910
```

## Properties
* ρ: 5.979 g/cm³
* crystal system: trigonal
* electronic total energy: -22.527 eV per atom
* magnetic moment: 0.02 μB/f.u.

---

# 4
Computed, not measured: a PBEsol-optimized structure of Mg2MnSi at the SCAN level of DFT.

```
Mg2MnSi
1.0
3.9644 0.0000 0.0000
0.0000 3.9644 0.0000
0.0000 0.0000 4.0670
Mg Mn Si
2 1 1
direct
0.0000 0.5000 0.0000
0.5000 0.0000 0.0000
0.0000 0.0000 0.5000
0.5000 0.5000 0.5000
```

## Properties
* formation energy (no corrections): -0.09 eV/atom
* ρ: 3.420 g/cm³
* crystal system: tetragonal
* magnetic moment: 3.85 μB/f.u.

---

Which of these has the lowest magnetic moment? LiZrRu

---

Which value of magnetic moment does entry 3 give? 0.02 μB/f.u.

---

Number 4 is which compound? Mg2MnSi